Entry a
A plane-wave DFT calculation with PBE was carried out for a geometry-optimized Pu2BiPt2 structure.

Results
DOS(E_F) ... 46.215 states/eV/cell
Magnetic moment ... 32.057 Bohr magnetons per cell

abc: 4.9314 4.9314 15.7973
angles: 90.00 90.00 120.00
With the nearest neighbours (Å) after each atom.
Space group R-3m (No. 166, hexagonal axes)
Inequivalent atoms, fractional coordinates:
Pu 0.0000 0.0000 0.2143 (multiplicity 6)  4 Pt 2.92-3.12, 3 Pu 3.22
Bi 0.0000 0.0000 0.0000 (multiplicity 3)  6 Pt 3.10, 8 Pu 3.38-3.41
Pt 0.0000 0.0000 0.4116 (multiplicity 6)  1 Pt 2.79, 4 Pu 2.92-3.12, 3 Bi 3.10

---

Entry b
A plane-wave DFT calculation with PBE was carried out for a geometry-optimized Pu2BiPt2 structure.

Results
DOS(E_F) ... 40.598 states/eV/cell
Magnetic moment ... 20.608 Bohr magnetons per cell

abc: 7.8186 7.8186 3.8142
angles: 90.00 90.00 90.00
With the nearest neighbours (Å) after each atom.
Space group P4/mbm (No. 127)
Inequivalent atoms, fractional coordinates:
Pu 0.1747 0.3253 0.0000 (multiplicity 4)  6 Pt 2.92-3.05
Bi 0.0000 0.0000 0.5000 (multiplicity 2)  4 Pt 3.09
Pt 0.1254 0.6254 0.5000 (multiplicity 4)  1 Pt 2.77, 6 Pu 2.92-3.05, 2 Bi 3.09

---

Energy ordering: entry b at the bottom, the next structure 123 meV/atom above.

---

Entry a
A plane-wave DFT calculation with PBE was carried out for a geometry-optimized RbBiPt structure.

Results
DOS(E_F) ... 2.114 states/eV/cell
Magnetic moment ... 0.000 Bohr magnetons per cell

abc: 5.7293 12.8315 5.6617
angles: 90.00 90.00 90.00
With the nearest neighbours (Å) after each atom.
Space group Cmmm (No. 65)
Inequivalent atoms, fractional coordinates:
Rb 0.0000 0.1365 0.0000 (multiplicity 4)  1 Rb 3.50, 4 Pt 3.60, 2 Bi 3.76
Bi 0.0000 0.3295 0.5000 (multiplicity 4)  2 Pt 2.67
Pt 0.0000 0.5000 0.2287 (multiplicity 4)  1 Pt 2.59, 2 Bi 2.67

---

Entry b
A plane-wave DFT calculation with PBE was carried out for a geometry-optimized RbBiPt structure.

Results
DOS(E_F) ... 1.402 states/eV/cell
Magnetic moment ... 0.000 Bohr magnetons per cell

abc: 6.8142 4.5480 7.9750
angles: 90.00 112.19 90.00
With the nearest neighbours (Å) after each atom.
Space group P2_1/m (No. 11)
Inequivalent atoms, fractional coordinates:
Rb 0.2168 0.2500 0.2308 (multiplicity 2)  4 Pt 3.56-3.69, 1 Bi 3.93
Bi 0.2765 0.2500 0.7406 (multiplicity 2)  3 Pt 2.69-2.80
Pt 0.3673 0.7500 0.9359 (multiplicity 2)  3 Bi 2.69-2.80, 2 Pt 2.84

---

Energy ordering: entry b at the bottom, the next structure 40 meV/atom above.

---

Entry a
A plane-wave DFT calculation with PBE was carried out for a geometry-optimized RbBiPt structure.

Results
DOS(E_F) ... 2.239 states/eV/cell
Magnetic moment ... 0.000 Bohr magnetons per cell

abc: 5.3264 5.3264 7.0036
angles: 90.00 90.00 90.00
With the nearest neighbours (Å) after each atom.
Space group P4/nmm (No. 129, origin choice 2)
Inequivalent atoms, fractional coordinates:
Rb 0.2500 0.2500 0.1190 (multiplicity 2)  2 Pt 3.39-3.61, 4 Bi 3.77
Bi 0.2500 0.7500 0.5000 (multiplicity 2)  4 Pt 2.82
Pt 0.2500 0.2500 0.6344 (multiplicity 2)  4 Bi 2.82

---

Entry b
A plane-wave DFT calculation with PBE was carried out for a geometry-optimized RbBiPt structure.

Results
DOS(E_F) ... 3.374 states/eV/cell
Magnetic moment ... 0.000 Bohr magnetons per cell

abc: 7.3344 7.4856 8.5231
angles: 90.00 119.75 90.00
With the nearest neighbours (Å) after each atom.
Space group P2_1/c (No. 14)
Inequivalent atoms, fractional coordinates:
Rb 0.1934 0.1238 0.4144 (multiplicity 4)  2 Pt 3.26-3.60
Bi 0.2769 0.6224 0.5802 (multiplicity 4)  3 Pt 2.71-2.72
Pt 0.4098 0.6161 0.3356 (multiplicity 4)  3 Bi 2.71-2.72, 1 Pt 2.99

---

Energy ordering: entry b at the bottom, the next structure 53 meV/atom above.

---

Entry a
A plane-wave DFT calculation with PBE was carried out for a geometry-optimized RbBiPt3 structure.

Results
DOS(E_F) ... 5.132 states/eV/cell
Magnetic moment ... 0.000 Bohr magnetons per cell

abc: 5.1095 5.1095 5.1095
angles: 90.00 90.00 90.00
With the nearest neighbours (Å) after each atom.
Space group Pm-3m (No. 221)
Inequivalent atoms, fractional coordinates:
Rb 0.0000 0.0000 0.0000 (multiplicity 1)  6 Pt 2.55
Bi 0.5000 0.5000 0.5000 (multiplicity 1)  12 Pt 3.61
Pt 0.0000 0.0000 0.5000 (multiplicity 3)  2 Rb 2.55

---

Entry b
A plane-wave DFT calculation with PBE was carried out for a geometry-optimized RbBiPt3 structure.

Results
DOS(E_F) ... 3.322 states/eV/cell
Magnetic moment ... 0.000 Bohr magnetons per cell

abc: 5.2459 5.2459 5.2459
angles: 90.00 90.00 90.00
With the nearest neighbours (Å) after each atom.
Space group Pm-3m (No. 221)
Inequivalent atoms, fractional coordinates:
Rb 0.0000 0.0000 0.0000 (multiplicity 1)  12 Pt 3.71
Bi 0.5000 0.5000 0.5000 (multiplicity 1)  6 Pt 2.62
Pt 0.0000 0.5000 0.5000 (multiplicity 3)  2 Bi 2.62

---

Energy ordering: entry b at the bottom, the next structure 1307 meV/atom above.

---

Entry a
A plane-wave DFT calculation with PBE was carried out for a geometry-optimized RbBi2Pt structure.

Results
DOS(E_F) ... 2.186 states/eV/cell
Magnetic moment ... 0.000 Bohr magnetons per cell

abc: 3.7238 3.7238 8.8544
angles: 90.00 90.00 90.00
With the nearest neighbours (Å) after each atom.
Space group P4/mmm (No. 123)
Inequivalent atoms, fractional coordinates:
Rb 0.0000 0.0000 0.0000 (multiplicity 1)  4 Rb 3.72, 8 Bi 3.93
Bi 0.5000 0.5000 0.3293 (multiplicity 2)  1 Bi 3.02, 4 Pt 3.04
Pt 0.0000 0.0000 0.5000 (multiplicity 1)  8 Bi 3.04

---

Entry b
A plane-wave DFT calculation with PBE was carried out for a geometry-optimized RbBi2Pt structure.

Results
DOS(E_F) ... 15.884 states/eV/cell
Magnetic moment ... 0.000 Bohr magnetons per cell

abc: 5.2277 10.1039 18.7568
angles: 90.00 90.00 90.00
With the nearest neighbours (Å) after each atom.
Space group Immm (No. 71)
Inequivalent atoms, fractional coordinates:
Rb 0.0000 0.0000 0.2029 (multiplicity 4)  8 Bi 3.42-3.59, 6 Pt 3.68-3.75
Rb 0.0000 0.2451 0.0000 (multiplicity 4)  10 Bi 3.84-4.01, 4 Pt 3.90
Bi 0.0000 0.0000 0.4135 (multiplicity 4)  2 Pt 2.82
Bi 0.0000 0.3388 0.1983 (multiplicity 8)  3 Pt 2.88-2.91
Bi 0.0000 0.5000 0.4181 (multiplicity 4)  2 Pt 2.87, 1 Bi 3.07
Pt 0.0000 0.2496 0.3460 (multiplicity 8)  5 Bi 2.82-2.91

---

Entry c
A plane-wave DFT calculation with PBE was carried out for a geometry-optimized RbBi2Pt structure.

Results
DOS(E_F) ... 6.620 states/eV/cell
Magnetic moment ... 0.000 Bohr magnetons per cell

abc: 5.8983 5.8983 18.2689
angles: 90.00 90.00 90.00
With the nearest neighbours (Å) after each atom.
Space group I-42d (No. 122)
Inequivalent atoms, fractional coordinates:
Rb 0.0000 0.0000 0.0000 (multiplicity 4)  4 Bi 3.60
Bi 0.0991 0.2500 0.6250 (multiplicity 8)  2 Pt 2.78
Pt 0.0000 0.0000 0.5000 (multiplicity 4)  4 Bi 2.78

---

Energy ordering: entry b at the bottom, the next structure 159 meV/atom above.

---

Entry a
A plane-wave DFT calculation with PBE was carried out for a geometry-optimized Bi3PtRh structure.

Results
DOS(E_F) ... 3.130 states/eV/cell
Magnetic moment ... 0.000 Bohr magnetons per cell

abc: 5.2060 5.2060 5.2060
angles: 90.00 90.00 90.00
With the nearest neighbours (Å) after each atom.
Space group Pm-3m (No. 221)
Inequivalent atoms, fractional coordinates:
Bi 0.0000 0.0000 0.5000 (multiplicity 3)  2 Rh 2.60
Pt 0.5000 0.5000 0.5000 (multiplicity 1)  12 Bi 3.68
Rh 0.0000 0.0000 0.0000 (multiplicity 1)  6 Bi 2.60

---

Entry b
A plane-wave DFT calculation with PBE was carried out for a geometry-optimized Bi3PtRh structure.

Results
DOS(E_F) ... 5.061 states/eV/cell
Magnetic moment ... 0.000 Bohr magnetons per cell

abc: 3.6384 7.6516 9.6313
angles: 72.76 89.35 89.16
With the nearest neighbours (Å) after each atom.
Space group P-1 (No. 2)
Inequivalent atoms, fractional coordinates:
Bi 0.2303 0.4885 0.3381 (multiplicity 2)  2 Pt 2.82-2.83, 2 Rh 2.93-3.04
Bi 0.2489 0.9147 0.3723 (multiplicity 2)  3 Pt 2.86-2.89, 2 Rh 2.88-2.92
Bi 0.2563 0.8165 0.9691 (multiplicity 2)  3 Rh 2.73-2.91, 1 Pt 2.81
Pt 0.2575 0.7840 0.6860 (multiplicity 2)  6 Bi 2.81-2.89
Rh 0.2498 0.2064 0.8147 (multiplicity 2)  7 Bi 2.73-3.04

---

Energy ordering: entry b at the bottom, the next structure 596 meV/atom above.